(1)
Ag2ClF: relaxed, PBEsol.

The structure in POSCAR format:
```
Ag2ClF
1.0
-2.3476 2.3476 7.0223
2.3476 -2.3476 7.0223
2.3476 2.3476 -7.0223
Ag Cl F
4 2 2
Direct
0.0732 0.6250 0.9482
0.3750 0.3232 0.4482
0.6768 0.1250 0.0518
0.8750 0.9268 0.5518
0.2500 0.7500 0.5000
0.5000 0.5000 0.0000
0.0000 0.0000 0.0000
0.7500 0.2500 0.5000
```

Calculated values
The total DFT energy (no corrections) is -25.750 eV/cell. The energy above the most stable polymorph in this dataset comes out at 0.04 eV/f.u. As for the symmetry: I-42d (122). The value obtained for the formation energy without anion corrections is -0.579 eV/atom.

(2)
CuPO4: relaxed, PBEsol.

The structure in POSCAR format:
```
CuPO4
1.0
0.0000 5.3367 4.6144
2.7097 0.0000 4.6144
2.7097 5.3367 0.0000
Cu P O
2 2 8
Direct
0.0000 0.0000 0.0000
0.2500 0.2500 0.2500
0.3641 0.3641 0.6359
0.6141 0.6141 0.8859
0.1977 0.7200 0.6652
0.2251 0.2785 0.9574
0.2785 0.2251 0.5390
0.2926 0.7110 0.0249
0.5848 0.8329 0.0523
0.7110 0.2926 0.9715
0.7200 0.1977 0.4171
0.8329 0.5848 0.5300
```

Calculated values
The total DFT energy (no corrections) is -78.373 eV/cell. As for the symmetry: Fdd2 (43). The value obtained for the formation energy without anion corrections is -1.344 eV/atom.

(3)
ScAs2Se: relaxed, PBEsol.

The structure in POSCAR format:
```
ScAs2Se
1.0
0.0000 3.3717 3.3717
3.3717 0.0000 3.3717
3.3717 3.3717 0.0000
Sc As Se
1 2 1
Direct
0.0000 0.0000 0.0000
0.2500 0.2500 0.2500
0.5000 0.5000 0.5000
0.7500 0.7500 0.7500
```

Calculated values
The total DFT energy (no corrections) is -21.852 eV/cell. As for the symmetry: F-43m (216). The value obtained for the formation energy without anion corrections is -0.296 eV/atom.

(4)
ReP2RhCl: relaxed, PBEsol.

The structure in POSCAR format:
```
ReP2RhCl
1.0
4.5260 0.0000 0.0000
0.0000 4.5260 0.0000
0.0000 0.0000 4.5410
Re P Rh Cl
1 2 1 1
Direct
0.0000 0.0000 0.0000
0.0000 0.5000 0.5000
0.5000 0.0000 0.5000
0.5000 0.5000 0.5000
0.5000 0.5000 0.0000
```

Calculated values
The total DFT energy (no corrections) is -28.644 eV/cell. As for the symmetry: P4/mmm (123). The value obtained for the formation energy without anion corrections is 1.283 eV/atom.

(5)
Cd5Ag3: relaxed, PBEsol.

The structure in POSCAR format:
```
Cd5Ag3
1.0
8.0534 0.0000 0.0000
-4.0267 6.9744 0.0000
0.0000 0.0000 5.4811
Cd Ag
10 6
Direct
0.0000 0.2278 0.2500
0.0000 0.7722 0.7500
0.2278 0.0000 0.2500
0.2278 0.2278 0.7500
0.3333 0.6667 0.0000
0.3333 0.6667 0.5000
0.6667 0.3333 0.0000
0.6667 0.3333 0.5000
0.7722 0.0000 0.7500
0.7722 0.7722 0.2500
0.0000 0.4009 0.7500
0.0000 0.5991 0.2500
0.4009 0.0000 0.7500
0.4009 0.4009 0.2500
0.5991 0.0000 0.2500
0.5991 0.5991 0.7500
```

Calculated values
The calculation puts the formation enthalpy at 0 K at -6 kJ/mol of formula units. The total DFT energy (no corrections) is -31.952 eV/cell. The energy above the most stable polymorph in this dataset comes out at 0.34 eV/f.u. As for the symmetry: P6_3/mcm (193).

(6)
NaIn3Co: relaxed, PBEsol.

The structure in POSCAR format:
```
NaIn3Co
1.0
4.8981 0.0000 0.0000
0.0000 4.8981 0.0000
0.0000 0.0000 4.8981
Na In Co
1 3 1
Direct
0.0000 0.0000 0.0000
0.0000 0.5000 0.5000
0.5000 0.0000 0.5000
0.5000 0.5000 0.0000
0.5000 0.5000 0.5000
```

Calculated values
The calculation puts the formation enthalpy at 0 K at -27 kJ/mol of formula units. The total DFT energy (no corrections) is -18.363 eV/cell. As for the symmetry: Pm-3m (221).

(7)
B3ClO: relaxed, PBEsol.

The structure in POSCAR format:
```
B3ClO
1.0
3.8611 0.0000 0.0000
0.0000 3.8611 0.0000
0.0000 0.0000 3.8611
B Cl O
3 1 1
Direct
0.0000 0.0000 0.5000
0.0000 0.5000 0.0000
0.5000 0.0000 0.0000
0.5000 0.5000 0.5000
0.0000 0.0000 0.0000
```

Calculated values
The total DFT energy (no corrections) is -18.021 eV/cell. As for the symmetry: Pm-3m (221). The value obtained for the formation energy without anion corrections is 2.057 eV/atom.

(8)
TaNbB2: relaxed, PBEsol.

The structure in POSCAR format:
```
TaNbB2
1.0
-2.2886 2.2886 4.5729
2.2886 -2.2886 4.5729
2.2886 2.2886 -4.5729
Ta Nb B
2 2 4
Direct
0.3750 0.6250 0.7500
0.6250 0.3750 0.2500
0.1250 0.8750 0.2500
0.8750 0.1250 0.7500
0.1256 0.3756 0.7500
0.3756 0.1256 0.2500
0.6244 0.8744 0.7500
0.8744 0.6244 0.2500
```

Calculated values
The calculation puts the formation enthalpy at 0 K at -252 kJ/mol of formula units. The total DFT energy (no corrections) is -80.038 eV/cell. As for the symmetry: I4_1/amd (141).

| no. | total moment (μB per formula unit) |
| --- | --- |
| 1 | 0.0 |
| 2 | 0.0 |
| 3 | 0.0 |
| 4 | 3.1 |
| 5 | 0.0 |
| 6 | 0.0 |
| 7 | 0.0 |
| 8 | 0.0 |